CrAsWSe2: relaxed, PBE.

Structure (POSCAR):
```
CrAsWSe2
1.0
-0.253 -4.883 -0.434
3.831 0.074 -3.069
3.053 -0.496 3.798
Cr W Se As
1 1 2 1
direct
0.500 0.500 0.500
0.000 0.000 0.000
0.500 0.000 0.000
0.000 0.500 0.000
0.000 0.000 0.500
```

Results
As for the uncorrected formation energy: 1160 meV/atom.